Below is an optimized crystal structure of LiMn2P3O10, with properties calculated at the GGA+U level.

## Properties
Size of the total moment, μB per formula unit: 10.00
Crystal system: monoclinic
DFT total energy, eV/atom: -7.35
Fermi-level density of states, states/eV/cell: 0.0

Cell lengths 4.705, 8.818, 9.235 Å; angles 90.00, 97.37, 90.00 degrees
Atoms (fractional coordinates):
Li 0.000 0.000 0.000
Li 0.000 0.500 0.000
Mn 0.034 0.065 0.332
Mn 0.034 0.435 0.332
Mn 0.966 0.565 0.668
Mn 0.966 0.935 0.668
P 0.329 0.250 0.824
P 0.402 0.750 0.463
P 0.456 0.250 0.138
P 0.544 0.750 0.862
P 0.598 0.250 0.537
P 0.671 0.750 0.176
O 0.158 0.104 0.818
O 0.158 0.396 0.818
O 0.231 0.605 0.482
O 0.231 0.895 0.482
O 0.252 0.750 0.767
O 0.282 0.105 0.150
O 0.282 0.395 0.150
O 0.302 0.250 0.447
O 0.448 0.750 0.028
O 0.448 0.750 0.291
O 0.552 0.250 0.709
O 0.552 0.250 0.972
O 0.698 0.750 0.553
O 0.718 0.605 0.850
O 0.718 0.895 0.850
O 0.748 0.250 0.233
O 0.769 0.105 0.518
O 0.769 0.395 0.518
O 0.842 0.604 0.182
O 0.842 0.896 0.182